(1)
# Rb2CuHgBr5 (GGA-PBE, optimized geometry)
# E_form (uncorrected), eV/atom: -0.9848
data_Rb2CuHgBr5
_symmetry_space_group_name_H-M 'C m c 21'
_symmetry_Int_Tables_number 36
_cell_length_a 4.449
_cell_length_b 19.905
_cell_length_c 14.346
_cell_angle_alpha 90.00
_cell_angle_beta 90.00
_cell_angle_gamma 90.00
loop_
_symmetry_equiv_pos_as_xyz
'x,y,z'
'-x,-y,z+1/2'
'-x,y,z'
'x,-y,z+1/2'
'x+1/2,y+1/2,z'
'-x+1/2,-y+1/2,z+1/2'
'-x+1/2,y+1/2,z'
'x+1/2,-y+1/2,z+1/2'
loop_
_atom_site_label
_atom_site_type_symbol
_atom_site_fract_x
_atom_site_fract_y
_atom_site_fract_z
Rb1 Rb 0.000 0.122 0.000
Rb2 Rb 0.000 0.128 0.620
Cu1 Cu 0.000 0.428 0.707
Hg1 Hg 0.000 0.209 0.323
Br1 Br 0.000 0.073 0.296
Br2 Br 0.000 0.296 0.957
Br3 Br 0.000 0.304 0.672
Br4 Br 0.000 0.344 0.311
Br5 Br 0.000 0.500 0.075

***

(2)
# Cu2HgSBr2 (GGA-PBE, optimized geometry)
# E_form (uncorrected), eV/atom: -0.2714
data_Cu2HgSBr2
_symmetry_space_group_name_H-M 'C m c 21'
_symmetry_Int_Tables_number 36
_cell_length_a 12.395
_cell_length_b 7.140
_cell_length_c 6.788
_cell_angle_alpha 90.00
_cell_angle_beta 90.00
_cell_angle_gamma 90.00
loop_
_symmetry_equiv_pos_as_xyz
'x,y,z'
'-x,-y,z+1/2'
'-x,y,z'
'x,-y,z+1/2'
'x+1/2,y+1/2,z'
'-x+1/2,-y+1/2,z+1/2'
'-x+1/2,y+1/2,z'
'x+1/2,-y+1/2,z+1/2'
loop_
_atom_site_label
_atom_site_type_symbol
_atom_site_fract_x
_atom_site_fract_y
_atom_site_fract_z
Cu1 Cu 0.161 0.154 0.000
Hg1 Hg 0.000 0.459 0.382
S1 S 0.000 0.264 0.090
Br1 Br 0.177 0.173 0.629

***

(3)
# Cu2HgSbBr (GGA-PBE, optimized geometry)
# E_form (uncorrected), eV/atom: 0.8445
data_Cu2HgSbBr
_symmetry_space_group_name_H-M 'P 4/m m m'
_symmetry_Int_Tables_number 123
_symmetry_space_group_name_Hall '-P 4 2'
_cell_length_a 4.836
_cell_length_b 4.836
_cell_length_c 6.146
_cell_angle_alpha 90.00
_cell_angle_beta 90.00
_cell_angle_gamma 90.00
loop_
_atom_site_label
_atom_site_type_symbol
_atom_site_fract_x
_atom_site_fract_y
_atom_site_fract_z
Cu1 Cu 0.000 0.500 0.000
Hg1 Hg 0.000 0.000 0.000
Sb1 Sb 0.500 0.500 0.500
Br1 Br 0.000 0.000 0.500

***

(4)
# CuHgSeBr (GGA-PBE, optimized geometry)
# E_form (uncorrected), eV/atom: -0.1962
data_CuHgSeBr
_symmetry_space_group_name_H-M 'C 1 m 1'
_symmetry_Int_Tables_number 8
_cell_length_a 7.149
_cell_length_b 4.130
_cell_length_c 8.427
_cell_angle_alpha 90.00
_cell_angle_beta 106.97
_cell_angle_gamma 90.00
loop_
_symmetry_equiv_pos_as_xyz
'x,y,z'
'x,-y,z'
'x+1/2,y+1/2,z'
'x+1/2,-y+1/2,z'
loop_
_atom_site_label
_atom_site_type_symbol
_atom_site_fract_x
_atom_site_fract_y
_atom_site_fract_z
Cu1 Cu 0.000 0.000 0.000
Hg1 Hg 0.446 0.000 0.323
Se1 Se 0.334 0.000 0.003
Br1 Br 0.179 0.000 0.520

***

For the records above, the corresponding calculated total energy values read -2.62; -2.93; -2.01; -2.59 eV per atom.